(1)
4
Lattice="3.202 0.000 0.000 0.000 3.202 0.000 0.000 0.000 7.012" Properties=species:S:1:pos:R:3 comment="PrTaNi2 | Alexandria via LeMat-Bulk | GGA-PBE | optimized geometry" formation_enthalpy_0k_kj_per_mol_atoms=-15 spacegroup="No. 123" energy_ry_per_atom=-0.529 volume_a3_per_atom=17.98 pbc="T T T"
Pr 0.000 0.000 0.000
Ta 0.000 0.000 3.506
Ni 1.601 1.601 2.229
Ni 1.601 1.601 4.783

***

(2)
10
Lattice="7.231 0.000 0.000 0.000 7.231 0.000 0.000 0.000 3.462" Properties=species:S:1:pos:R:3 comment="NaSc2S2 | Alexandria via LeMat-Bulk | GGA-PBE | optimized geometry" spacegroup="No. 127" energy_ry_per_atom=-0.416 volume_a3_per_atom=18.10 pbc="T T T"
Na 0.000 0.000 0.000
Na 3.616 3.616 0.000
Sc 1.076 2.539 1.731
Sc 2.539 6.155 1.731
Sc 4.692 1.076 1.731
Sc 6.155 4.692 1.731
S 1.072 4.688 0.000
S 2.543 1.072 0.000
S 4.688 6.159 0.000
S 6.159 2.543 0.000

***

(3)
5
Lattice="5.146 0.000 0.000 0.000 5.146 0.000 0.000 0.000 3.720" Properties=species:S:1:pos:R:3 comment="Zn2RhPbO | Alexandria via LeMat-Bulk | GGA-PBE | optimized geometry" spacegroup="No. 123" energy_ry_per_atom=-0.275 volume_a3_per_atom=19.70 pbc="T T T"
Zn 0.000 2.573 0.000
Zn 2.573 0.000 0.000
Rh 0.000 0.000 0.000
Pb 2.573 2.573 1.860
O 0.000 0.000 1.860

***

(4)
7
Lattice="-2.315 2.637 10.412 2.315 -2.637 10.412 2.315 2.637 -10.412" Properties=species:S:1:pos:R:3 comment="Ba3Al2Sn2 | Alexandria via LeMat-Bulk | GGA-PBE | optimized geometry" formation_enthalpy_0k_kj_per_mol_atoms=-50 spacegroup="No. 71" energy_ry_per_atom=-0.262 volume_a3_per_atom=36.32 pbc="T T T"
Ba 0.000 0.000 0.000
Ba 2.315 0.000 3.785
Ba 0.000 2.637 6.627
Al 0.000 0.000 9.131
Al 0.000 0.000 11.694
Sn 2.315 0.000 7.583
Sn 0.000 2.637 2.830